Computed, not measured: a relaxed structure of FeBi3F at the PBE+U level of DFT.

Values from the calculation:
raw total energy	-3.534	eV per atom
ΔE to the lowest computed polymorph	0.010	eV per atom

```
data_FeBi3F
_chemical_formula_sum 'Fe1 Bi3 F1'
_symmetry_space_group_name_H-M 'P m -3 m'
_symmetry_Int_Tables_number 221
_symmetry_space_group_name_Hall '-P 4 2 3'
_cell_length_a 5.044
_cell_length_b 5.044
_cell_length_c 5.044
_cell_angle_alpha 90.00
_cell_angle_beta 90.00
_cell_angle_gamma 90.00
loop_
_atom_site_label
_atom_site_fract_x
_atom_site_fract_y
_atom_site_fract_z
_atom_site_occupancy
Fe1 0.000 0.000 0.000 1
Bi1 0.000 0.500 0.500 1
F1 0.500 0.500 0.500 1
```